1.
VASP calculation (PBE) on a geometry-optimized Er8AlRh2 structure.

Values from the calculation:
SG   C2/m (12)

Cell lengths 5.3613, 7.8278, 7.8278 Å; angles 113.34, 97.96, 97.96 degrees
With the nearest neighbours (Å) after each atom.
Positions (direct):
Er  0.4212  0.6756  0.9309  2 Rh 2.85-2.89
Er  0.8083  0.6216  0.6216  2 Rh 3.04, 1 Al 3.18, 3 Er 3.24-3.34
Er  0.5784  0.0752  0.3305  2 Rh 2.85-2.89
Er  0.9999  0.2455  0.7603  2 Rh 2.81
Er  0.1918  0.3850  0.3850  2 Rh 3.04, 1 Al 3.18, 3 Er 3.24-3.34
Er  0.5784  0.3305  0.0752  2 Rh 2.85-2.89
Er  0.9999  0.7603  0.2455  2 Rh 2.81
Er  0.4212  0.9309  0.6756  2 Rh 2.85-2.89
Rh  0.5000  0.3112  0.6949  8 Er 2.81-3.04
Rh  0.5000  0.6949  0.3112  8 Er 2.81-3.04
Al  0.0006  0.0032  0.0032  4 Er 3.17-3.18

2.
VASP calculation (PBE) on a geometry-optimized Cs2RbTlZn structure.

Values from the calculation:
Distance to the lowest polymorph of the same formula   0 meV/atom
SG   P4/mmm (123)

Cell lengths 7.4909, 7.4909, 5.5722 Å; angles 90.00, 90.00, 90.00 degrees
With the nearest neighbours (Å) after each atom.
Positions (direct):
Cs  0.0000  0.5000  0.0000  2 Zn 3.75
Cs  0.5000  0.0000  0.0000  2 Zn 3.75
Tl  0.0000  0.0000  0.5000  2 Zn 2.79
Zn  0.0000  0.0000  0.0000  2 Tl 2.79
Rb  0.5000  0.5000  0.5000  8 Cs 4.67

We obtain DFT formation energy values of -0.362; 0.096 eV/atom for the records listed above, in that order.